Record 1
Ca2DySn3Pd4: relaxed, GGA-PBE.

Results
Its formation energy is -0.744 eV/atom.

a b c (Å): 4.5698 4.5698 11.2813
angles (deg): 90.00 90.00 90.00
Last column: nearest neighbours and their distance in Å.
Element x y z (fractional)
Ca 0.5000 0.0000 0.2232  8 Pd 3.40-3.56, 4 Sn 3.42
Ca 0.0000 0.5000 0.7768  8 Pd 3.40-3.56, 4 Sn 3.42
Dy 0.5000 0.5000 0.5000  4 Pd 2.81
Sn 0.0000 0.0000 0.5000  4 Pd 2.81
Sn 0.5000 0.0000 0.8765  5 Pd 2.61-2.68
Sn 0.0000 0.5000 0.1235  5 Pd 2.61-2.68
Pd 0.5000 0.5000 0.0000  4 Sn 2.68
Pd 0.0000 0.0000 0.0000  4 Sn 2.68
Pd 0.5000 0.0000 0.6453  3 Sn 2.61-2.81, 2 Dy 2.81
Pd 0.0000 0.5000 0.3547  3 Sn 2.61-2.81, 2 Dy 2.81

---

Record 2
CaDyTlPd: relaxed, GGA-PBE.

Results
Its formation energy is -0.518 eV/atom.

a b c (Å): 5.1918 5.1918 5.1918
angles (deg): 60.00 60.00 60.00
Last column: nearest neighbours and their distance in Å.
Element x y z (fractional)
Tl 0.0000 0.0000 0.0000  4 Dy 3.18, 4 Ca 3.18
Ca 0.2500 0.2500 0.2500  4 Pd 3.18, 4 Tl 3.18
Pd 0.5000 0.5000 0.5000  4 Ca 3.18, 4 Dy 3.18
Dy 0.7500 0.7500 0.7500  4 Tl 3.18, 4 Pd 3.18

---

Record 3
CaDy2ZnPd4: relaxed, GGA-PBE.

Results
Its formation energy is -0.735 eV/atom.

a b c (Å): 4.8215 4.8215 8.4242
angles (deg): 73.37 73.37 60.00
Last column: nearest neighbours and their distance in Å.
Element x y z (fractional)
Ca 0.0000 0.0000 0.0000  8 Pd 3.00-3.04
Dy 0.7565 0.7565 0.7304  7 Pd 2.81-2.93
Dy 0.2435 0.2435 0.2696  7 Pd 2.81-2.93
Zn 0.5000 0.5000 0.5000  8 Pd 2.75-2.95
Pd 0.3847 0.3847 0.8458  1 Zn 2.75, 3 Dy 2.93, 3 Ca 3.04
Pd 0.8741 0.8741 0.3776  4 Dy 2.81-2.91, 3 Zn 2.95, 1 Ca 3.00
Pd 0.1259 0.1259 0.6224  4 Dy 2.81-2.91, 3 Zn 2.95, 1 Ca 3.00
Pd 0.6153 0.6153 0.1542  1 Zn 2.75, 3 Dy 2.93, 3 Ca 3.04

---

Record 4
CaPm3Dy2: relaxed, GGA-PBE.

Results
Its formation energy is 0.198 eV/atom.

a b c (Å): 7.9689 6.6976 7.9689
angles (deg): 90.13 101.22 89.87
Last column: nearest neighbours and their distance in Å.
Element x y z (fractional)
Ca 0.5198 0.2498 0.4802  1 Pm 3.30, 2 Ca 3.38-3.39
Ca 0.4802 0.7502 0.5198  1 Pm 3.30, 2 Ca 3.38-3.39
Pm 0.5752 0.7506 0.0810  4 Pm 3.35-3.71, 2 Dy 3.53-3.54, 1 Ca 3.72
Pm 0.9190 0.7506 0.4248  4 Pm 3.35-3.71, 2 Dy 3.53-3.54, 1 Ca 3.72
Pm 0.4248 0.2494 0.9190  4 Pm 3.35-3.71, 2 Dy 3.53-3.54, 1 Ca 3.72
Pm 0.2123 0.7489 0.7877  1 Ca 3.30, 2 Pm 3.35, 4 Dy 3.56
Pm 0.7877 0.2511 0.2123  1 Ca 3.30, 2 Pm 3.35, 4 Dy 3.56
Pm 0.0810 0.2494 0.5752  4 Pm 3.35-3.71, 2 Dy 3.53-3.54, 1 Ca 3.72
Dy 0.1716 0.5000 0.1716  3 Dy 3.35-3.47, 4 Pm 3.53-3.56, 2 Ca 3.73
Dy 0.1714 0.0000 0.1714  3 Dy 3.35-3.47, 4 Pm 3.54-3.56, 2 Ca 3.73
Dy 0.8286 0.0000 0.8286  3 Dy 3.35-3.47, 4 Pm 3.54-3.56, 2 Ca 3.73
Dy 0.8284 0.5000 0.8284  3 Dy 3.35-3.47, 4 Pm 3.53-3.56, 2 Ca 3.73